The following is a GGA-PBE calculation of BaAlTl2Hg after structural relaxation, from Alexandria via LeMat-Bulk.

Cell: 5.5874 5.5874 5.2072 Å, 90.00 90.00 90.00°
Element x y z (fractional)
Ba1 0.0000 0.0000 0.0000
Al1 0.5000 0.5000 0.5000
Tl1 0.0000 0.5000 0.5000
Tl2 0.5000 0.0000 0.5000
Hg1 0.5000 0.5000 0.0000

Computed properties:
E_form	-0.106	eV/atom
calculated total energy	-2.246	eV/atom
SG	P4/mmm (123)